[1]
A relaxed structure of ScNb3. Source: the Alexandria database, functional PBE.

POSCAR file:
```
ScNb3
1.0
-3.588 -1.259 -2.856
-1.398 -4.541 -0.201
-4.183 -1.285 1.862
Nb Sc
3 1
Cartesian
0.000 0.000 0.000
-6.876 -5.314 -0.897
-2.292 -1.771 -0.299
-4.584 -3.542 -0.598
```

Summary:
* M_tot: 0.000 μB/atom
* calculated formation energy: 14 kJ/mol of atoms
* energy above the lowest structure with this stoichiometry: 0.000 eV/atom
* symmetry: No. 225
* DOS at the Fermi energy: 6.7 states/eV/cell

[2]
A relaxed structure of RbSn2N. Source: the Alexandria database, functional PBE.

POSCAR file:
```
RbSn2N
1.0
6.969 0.000 0.000
0.000 6.969 0.000
3.485 3.485 5.310
N Sn Rb
2 4 2
Cartesian
3.485 6.969 2.655
3.485 3.485 0.000
4.169 1.742 1.327
8.712 7.653 3.982
5.227 6.286 3.982
2.801 5.227 1.327
6.969 3.485 2.655
0.000 0.000 0.000
```

Summary:
* M_tot: 0.000 μB/atom
* formation energy from raw total energies: 0.48 eV/atom
* symmetry: No. 122
* DOS at the Fermi energy: 2.3 states/eV/cell

[3]
A relaxed structure of Pm2Pr6Y3Ho. Source: the Alexandria database, functional PBE.

POSCAR file:
```
Pm2Pr6Y3Ho
1.0
6.348 -0.002 0.004
-3.174 5.497 0.004
-1.064 -1.842 11.813
Pr Ho Y Pm
6 1 3 2
Cartesian
3.167 1.828 8.855
2.109 -0.003 2.967
-1.056 1.826 2.967
0.001 3.657 8.855
-0.007 -0.011 8.847
2.117 3.666 2.975
0.000 0.000 0.000
1.055 1.827 5.911
4.230 -0.007 5.911
-2.120 3.661 5.911
3.175 1.831 0.004
-0.001 3.665 0.004
```

Summary:
* M_tot: 0.000 μB/atom
* calculated formation energy: 1 kJ/mol of atoms
* symmetry: No. 12
* DOS at the Fermi energy: 14.8 states/eV/cell

[4]
A relaxed structure of Tb3Dy6ThSc2. Source: the Alexandria database, functional PBE.

POSCAR file:
```
Tb3Dy6ThSc2
1.0
6.055 0.000 0.013
-3.026 5.245 0.013
-1.035 -1.792 11.487
Dy Sc Tb Th
6 2 3 1
Cartesian
2.011 -0.010 2.825
-0.021 -0.036 8.677
-1.013 1.737 2.825
-0.017 3.462 8.688
3.007 1.715 8.688
2.015 3.488 2.836
3.031 1.747 0.013
-0.002 3.498 0.013
4.017 -0.018 5.757
-2.024 3.470 5.757
0.997 1.726 5.757
0.000 0.000 0.000
```

Summary:
* M_tot: 0.000 μB/atom
* calculated formation energy: 4 kJ/mol of atoms
* symmetry: No. 12
* DOS at the Fermi energy: 15.8 states/eV/cell

[5]
A relaxed structure of DyHo4Sc7. Source: the Alexandria database, functional PBE.

POSCAR file:
```
DyHo4Sc7
1.0
-1.543 4.887 2.043
-11.025 0.507 -2.092
-1.514 0.086 6.100
Ho Sc Dy
4 7 1
Cartesian
-4.226 3.305 3.801
-3.880 1.627 0.627
-10.203 3.853 5.424
-9.857 2.175 2.251
-12.067 4.379 2.758
-2.016 1.100 3.294
-0.771 2.443 1.022
-6.741 4.982 5.339
-7.420 2.057 4.374
-7.341 0.498 0.713
-6.663 3.423 1.677
0.000 0.000 0.000
```

Summary:
* M_tot: 0.043 μB/atom
* calculated formation energy: 27 kJ/mol of atoms
* symmetry: No. 12
* DOS at the Fermi energy: 22.2 states/eV/cell

[6]
A relaxed structure of TlGaCu2F8. Source: the Alexandria database, functional PBE.

POSCAR file:
```
TlGaCu2F8
1.0
-4.843 0.455 2.205
-4.099 -2.811 -1.955
-1.408 -6.267 4.670
F Cu Ga Tl
8 2 1 1
Cartesian
-2.304 -3.143 2.056
-5.078 -5.238 5.465
-2.940 -6.261 3.509
-7.410 -2.362 1.411
-4.518 -1.349 1.629
-5.833 -7.274 3.291
-5.273 -3.385 -0.545
-8.046 -5.480 2.864
-7.656 -6.839 4.001
-2.694 -1.784 0.919
0.000 0.000 0.000
-5.175 -4.312 2.460
```

Summary:
* M_tot: 0.167 μB/atom
* formation energy from raw total energies: -1.82 eV/atom
* symmetry: No. 148
* DOS at the Fermi energy: 7.8 states/eV/cell

What did the sixth record say?
A relaxed structure of TlGaCu2F8. Source: the Alexandria database, functional PBE.

POSCAR file:
```
TlGaCu2F8
1.0
-4.843 0.455 2.205
-4.099 -2.811 -1.955
-1.408 -6.267 4.670
F Cu Ga Tl
8 2 1 1
Cartesian
-2.304 -3.143 2.056
-5.078 -5.238 5.465
-2.940 -6.261 3.509
-7.410 -2.362 1.411
-4.518 -1.349 1.629
-5.833 -7.274 3.291
-5.273 -3.385 -0.545
-8.046 -5.480 2.864
-7.656 -6.839 4.001
-2.694 -1.784 0.919
0.000 0.000 0.000
-5.175 -4.312 2.460
```

Summary:
* M_tot: 0.167 μB/atom
* formation energy from raw total energies: -1.82 eV/atom
* symmetry: No. 148
* DOS at the Fermi energy: 7.8 states/eV/cell